1.
Material: Ga2CF
Method: DFT, PBEsol
State: optimized geometry

a = 3.9702 Å, b = 3.9702 Å, c = 3.9702 Å
α = 60.00°, β = 60.00°, γ = 60.00°
Atoms (fractional coordinates):
Ga1 0.2500 0.2500 0.2500
Ga2 0.7500 0.7500 0.7500
C1 0.0000 0.0000 0.0000
F1 0.5000 0.5000 0.5000

Output
- Fermi-level density of states: 1.1 states/eV per cell
- Electronic total energy: -4.3875 eV per atom
- M_tot: 0.000 μB per atom

2.
Material: GaCF2
Method: DFT, PBEsol
State: optimized geometry

a = 7.2944 Å, b = 7.2944 Å, c = 7.2944 Å
α = 20.78°, β = 20.78°, γ = 20.78°
Atoms (fractional coordinates):
Ga1 0.0000 0.0000 0.0000
C1 0.5000 0.5000 0.5000
F1 0.4180 0.4180 0.4180
F2 0.5820 0.5820 0.5820

Output
- Fermi-level density of states: 1.3 states/eV per cell
- Electronic total energy: -3.9419 eV per atom
- ΔE to the lowest computed polymorph: 460 meV per atom
- M_tot: 0.000 μB per atom

3.
Material: GaCO2F
Method: DFT, PBEsol
State: optimized geometry

a = 3.4908 Å, b = 3.4908 Å, c = 3.5162 Å
α = 90.00°, β = 90.00°, γ = 90.00°
Atoms (fractional coordinates):
Ga1 0.0000 0.0000 0.0000
C1 0.5000 0.5000 0.5000
O1 0.0000 0.5000 0.5000
O2 0.5000 0.0000 0.5000
F1 0.5000 0.5000 0.0000

Output
- Fermi-level density of states: 0.9 states/eV per cell
- Electronic total energy: -4.8730 eV per atom
- M_tot: 0.000 μB per atom

4.
Material: K4Gd2C3O9F4
Method: DFT, PBEsol
State: optimized geometry

a = 6.8527 Å, b = 6.8527 Å, c = 6.9267 Å
α = 98.84°, β = 98.84°, γ = 82.05°
Atoms (fractional coordinates):
K1 0.0000 0.0000 0.0000
K2 0.1288 0.5028 0.1166
K3 0.4972 0.8712 0.8834
K4 0.8460 0.1540 0.5000
Gd1 0.3596 0.3514 0.6443
Gd2 0.6486 0.6404 0.3557
C1 0.0225 0.6618 0.6253
C2 0.3382 0.9775 0.3747
C3 0.6461 0.3539 0.0000
O1 0.0107 0.5052 0.4922
O2 0.1775 0.6633 0.7589
O3 0.1944 0.1178 0.3793
O4 0.3367 0.8225 0.2411
O5 0.4948 0.9893 0.5078
O6 0.5025 0.4975 0.0000
O7 0.6466 0.2139 0.8514
O8 0.7861 0.3534 0.1486
O9 0.8822 0.8056 0.6207
F1 0.1892 0.2080 0.8179
F2 0.4421 0.3920 0.3482
F3 0.6080 0.5579 0.6518
F4 0.7920 0.8108 0.1821

Output
- Fermi-level density of states: 0.0 states/eV per cell
- Electronic total energy: -7.8229 eV per atom
- M_tot: 0.636 μB per atom

5.
Material: K4Gd2C3O9F4
Method: DFT, PBEsol
State: optimized geometry

a = 6.8808 Å, b = 8.9566 Å, c = 10.4653 Å
α = 90.00°, β = 100.87°, γ = 90.00°
Atoms (fractional coordinates):
K1 0.0022 0.0000 0.2495
K2 0.1164 0.3130 0.0612
K3 0.1366 0.8218 0.5620
K4 0.4929 0.3749 0.7474
K5 0.5071 0.8749 0.2526
K6 0.8634 0.3218 0.4380
K7 0.8836 0.8130 0.9388
K8 0.9978 0.5000 0.7505
Gd1 0.3561 0.0015 0.8914
Gd2 0.3565 0.4929 0.3958
Gd3 0.6439 0.5015 0.1086
Gd4 0.6435 0.9929 0.6042
C1 0.0136 0.6428 0.2408
C2 0.3488 0.6738 0.9382
C3 0.3518 0.1731 0.4284
C4 0.6482 0.6731 0.5716
C5 0.6512 0.1738 0.0618
C6 0.9864 0.1428 0.7592
O1 0.0008 0.4979 0.2494
O2 0.1285 0.2150 0.8294
O3 0.1709 0.7083 0.3038
O4 0.1983 0.2451 0.3711
O5 0.2248 0.7498 0.8552
O6 0.3433 0.5295 0.9429
O7 0.3569 0.0288 0.4336
O8 0.4845 0.7427 0.0201
O9 0.4926 0.7482 0.5173
O10 0.5074 0.2482 0.4827
O11 0.5155 0.2427 0.9799
O12 0.6431 0.5288 0.5664
O13 0.6567 0.0295 0.0571
O14 0.7752 0.2498 0.1448
O15 0.8017 0.7451 0.6289
O16 0.8291 0.2083 0.6962
O17 0.8715 0.7150 0.1706
O18 0.9992 0.9979 0.7506
F1 0.1889 0.5003 0.5567
F2 0.1983 0.0045 0.0572
F3 0.3963 0.1012 0.6961
F4 0.4240 0.3805 0.2116
F5 0.5760 0.8805 0.7884
F6 0.6037 0.6012 0.3039
F7 0.8017 0.5045 0.9428
F8 0.8111 0.0003 0.4433

Output
- Fermi-level density of states: 0.0 states/eV per cell
- Electronic total energy: -7.8236 eV per atom
- M_tot: 0.636 μB per atom

6.
Material: LiGe2CF
Method: DFT, PBEsol
State: optimized geometry

a = 4.4321 Å, b = 4.4321 Å, c = 3.9205 Å
α = 90.00°, β = 90.00°, γ = 90.00°
Atoms (fractional coordinates):
Li1 0.0000 0.0000 0.0000
Ge1 0.0000 0.5000 0.5000
Ge2 0.5000 0.0000 0.5000
C1 0.5000 0.5000 0.0000
F1 0.5000 0.5000 0.5000

Output
- Fermi-level density of states: 1.5 states/eV per cell
- Electronic total energy: -3.8099 eV per atom
- M_tot: 0.000 μB per atom

7.
Material: Nb2GeCF
Method: DFT, PBEsol
State: optimized geometry

a = 4.8292 Å, b = 4.8292 Å, c = 3.6844 Å
α = 90.00°, β = 90.00°, γ = 90.00°
Atoms (fractional coordinates):
Nb1 0.0000 0.5000 0.0000
Nb2 0.5000 0.0000 0.0000
Ge1 0.0000 0.0000 0.0000
C1 0.0000 0.0000 0.5000
F1 0.5000 0.5000 0.5000

Output
- Fermi-level density of states: 6.2 states/eV per cell
- Electronic total energy: -6.1856 eV per atom
- M_tot: 0.002 μB per atom

8.
Material: HoH8C2O8F
Method: DFT, PBEsol
State: optimized geometry

a = 8.1923 Å, b = 8.1923 Å, c = 8.1946 Å
α = 118.72°, β = 118.72°, γ = 86.95°
Atoms (fractional coordinates):
Ho1 0.0601 0.9399 0.7500
Ho2 0.9399 0.0601 0.2500
H1 0.1125 0.6456 0.0393
H2 0.1309 0.3083 0.1227
H3 0.1659 0.3840 0.9869
H4 0.2820 0.6687 0.0083
H5 0.3083 0.1309 0.6227
H6 0.3313 0.7180 0.4917
H7 0.3544 0.8875 0.4607
H8 0.3840 0.1659 0.4869
H9 0.6160 0.8341 0.5131
H10 0.6456 0.1125 0.5393
H11 0.6687 0.2820 0.5083
H12 0.6917 0.8691 0.3773
H13 0.7180 0.3313 0.9917
H14 0.8341 0.6160 0.0131
H15 0.8691 0.6917 0.8773
H16 0.8875 0.3544 0.9607
C1 0.0650 0.5084 0.4597
C2 0.4916 0.9350 0.0403
C3 0.5084 0.0650 0.9597
C4 0.9350 0.4916 0.5403
O1 0.0924 0.3541 0.3408
O2 0.1019 0.2717 0.9749
O3 0.1346 0.6751 0.5203
O4 0.2038 0.5757 0.0025
O5 0.2717 0.1019 0.4749
O6 0.3249 0.8654 0.9797
O7 0.3541 0.0924 0.8408
O8 0.4243 0.7962 0.4975
O9 0.5757 0.2038 0.5025
O10 0.6459 0.9076 0.1592
O11 0.6751 0.1346 0.0203
O12 0.7283 0.8981 0.5251
O13 0.7962 0.4243 0.9975
O14 0.8654 0.3249 0.4797
O15 0.8981 0.7283 0.0251
O16 0.9076 0.6459 0.6592
F1 0.0000 0.0000 0.0000
F2 0.0000 0.0000 0.5000

Output
- Fermi-level density of states: 0.0 states/eV per cell
- Electronic total energy: -6.2371 eV per atom
- M_tot: 0.003 μB per atom

> Which of these has the lowest electronic total energy?

number 5